Computed, not measured: YPd2 at its PBEsol-relaxed geometry at the SCAN level of DFT.

```
3
Lattice="3.5048 0.0000 0.0000 0.0000 3.5048 0.0000 -1.7524 -1.7524 4.4743" Properties=species:S:1:pos:R:3 pbc="T T T"
Pd 0.0000 0.0000 2.9647
Pd 1.7524 1.7524 1.5096
Y 0.0000 0.0000 0.0000
```

Properties
DFT total energy   -95.8 eV/cell
Calculated density   9.12 g cm⁻³
Energy of formation from the pure elements   -0.814 eV/atom
Space group   I4/mmm, No. 139



Computed, not measured: ZnPd2 at its PBEsol-relaxed geometry at the SCAN level of DFT.

```
12
Lattice="-0.1586 2.8149 -3.0025 -3.2638 -3.1287 -2.7607 -6.0578 3.3039 3.4175" Properties=species:S:1:pos:R:3 pbc="T T T"
Pd -2.8996 0.0149 -1.2453
Pd -4.8307 -1.3863 -2.4569
Pd -1.1002 1.8052 -2.4869
Pd -6.5806 2.9752 -1.1005
Pd -8.3801 1.1849 0.1411
Pd -4.5632 1.5576 0.2888
Pd -4.6495 4.3764 0.1111
Pd -4.9170 1.4325 -2.6346
Zn -6.5331 2.6892 1.4538
Zn -3.1463 2.8638 -1.3863
Zn -2.9472 0.3009 -3.7996
Zn -6.3340 0.1263 -0.9595
```

Properties
DFT total energy   -321.8 eV/cell
Calculated density   11.00 g cm⁻³
Energy of formation from the pure elements   -0.465 eV/atom
Space group   Pnma, No. 62



Computed, not measured: ZnPd3 at its PBEsol-relaxed geometry at the SCAN level of DFT.

```
8
Lattice="-0.1424 1.9302 3.9696 1.4288 -4.7066 2.3398 3.8350 3.5309 -1.5793" Properties=species:S:1:pos:R:3 pbc="T T T"
Zn 2.1953 -1.4783 2.0258
Pd 1.7259 -1.8765 4.6592
Pd 1.0165 0.4603 3.4975
Pd 4.1050 0.2941 1.2326
Zn 2.9262 2.2327 2.7043
Pd 3.6299 -0.1234 3.8751
Pd 1.4915 0.8778 0.8550
Pd 3.3956 2.6309 0.0709
```

Properties
DFT total energy   -226.1 eV/cell
Calculated density   11.26 g cm⁻³
Energy of formation from the pure elements   -0.305 eV/atom
Space group   P6_3/mmc, No. 194



Computed, not measured: ZnPd2 at its PBEsol-relaxed geometry at the SCAN level of DFT.

```
6
Lattice="-1.2043 0.3116 2.5737 0.7784 -2.6634 0.6867 8.8508 3.5440 3.7125" Properties=species:S:1:pos:R:3 pbc="T T T"
Zn 2.7675 0.0175 2.8803
Pd -0.2129 -1.1759 1.6302
Zn 5.6574 1.1747 4.0925
Pd 4.4254 1.7720 1.8563
Pd 1.6241 0.6503 0.6812
Pd 7.2267 2.8937 3.0313
```

Properties
DFT total energy   -160.7 eV/cell
Calculated density   11.05 g cm⁻³
Energy of formation from the pure elements   -0.425 eV/atom
Space group   P4/mmm, No. 123



Computed, not measured: Zn3Pd at its PBEsol-relaxed geometry at the SCAN level of DFT.

```
4
Lattice="-2.6876 1.1825 2.2472 -0.9682 -3.5021 0.6849 4.3616 1.0621 1.6157" Properties=species:S:1:pos:R:3 pbc="T T T"
Zn -1.8279 -1.1598 1.4660
Zn 0.7828 -1.7999 1.8833
Pd 0.0000 0.0000 0.0000
Zn -0.0769 0.5424 2.6645
```

Properties
DFT total energy   -74.8 eV/cell
Calculated density   9.21 g cm⁻³
Energy of formation from the pure elements   -0.367 eV/atom
Space group   I4/mmm, No. 139



Computed, not measured: ZnPd at its PBEsol-relaxed geometry at the SCAN level of DFT.

```
2
Lattice="2.8536 0.0000 0.0000 0.0000 2.8536 0.0000 0.0000 0.0000 3.3559" Properties=species:S:1:pos:R:3 pbc="T T T"
Zn 1.4268 1.4268 0.0000
Pd 0.0000 0.0000 1.6779
```

Properties
DFT total energy   -47.5 eV/cell
Calculated density   10.44 g cm⁻³
Energy of formation from the pure elements   -0.582 eV/atom
Space group   P4/mmm, No. 123



Computed, not measured: Zn2Pd at its PBEsol-relaxed geometry at the SCAN level of DFT.

```
24
Lattice="5.2070 -0.0139 0.0000 -0.0926 5.2062 0.0000 0.0000 0.0000 12.1555" Properties=species:S:1:pos:R:3 pbc="T T T"
Zn 2.6035 -0.0070 10.1305
Zn 1.3730 3.7626 0.0677
Zn -0.0463 2.6031 6.0788
Zn 2.5572 2.5961 10.1641
Zn 0.0000 0.0000 10.0771
Zn 2.6035 -0.0070 6.0788
Pd 1.1274 1.1445 12.0740
Pd 1.1041 4.0274 8.0937
Pd 2.5572 2.5961 6.0571
Zn 1.4420 1.4640 4.0134
Pd 2.5572 2.5961 2.0381
Zn 1.4103 1.4318 8.1048
Zn -0.0463 2.6031 2.0271
Zn 3.7414 1.4297 0.0677
Zn 3.7041 3.7605 8.1048
Zn 2.6035 -0.0070 2.0271
Pd 4.0718 1.1042 4.1092
Zn 0.0000 0.0000 6.1088
Pd 4.0103 1.1649 8.0937
Zn 3.6724 3.7283 4.0134
Pd 1.0425 4.0881 4.1092
Zn 0.0000 0.0000 2.0223
Zn -0.0463 2.6031 10.1305
Pd 3.9870 4.0478 12.0740
```

Properties
DFT total energy   -488.9 eV/cell
Calculated density   9.56 g cm⁻³
Energy of formation from the pure elements   -0.435 eV/atom
Space group   Cmm2, No. 35



Computed, not measured: ZnPd3 at its PBEsol-relaxed geometry at the SCAN level of DFT.

```
8
Lattice="3.8333 0.0000 0.0000 0.0000 3.8333 0.0000 -1.9166 -1.9166 7.6938" Properties=species:S:1:pos:R:3 pbc="T T T"
Zn 0.0000 0.0000 1.9017
Pd 1.9166 0.0000 3.8469
Zn 1.9166 1.9166 5.7921
Pd 1.9166 1.9166 1.9334
Pd 0.0000 0.0000 5.7604
Pd 1.9166 0.0000 0.0000
Pd 0.0000 1.9166 3.8469
Pd 0.0000 1.9166 0.0000
```

Properties
DFT total energy   -226.3 eV/cell
Calculated density   11.30 g cm⁻³
Energy of formation from the pure elements   -0.327 eV/atom
Space group   I4/mmm, No. 139